1.
Density functional theory data (GGA-PBE) for a geometry-optimized CsSrHg structure.

## Properties
Excess energy over the best structure of this formula in the dataset   33.5 kJ/mol of atoms

a b c (Å): 6.263 6.263 6.263
angles (deg): 60.00 60.00 60.00
Element x y z (fractional)
Hg  0.250  0.250  0.250
Sr  0.750  0.750  0.750
Cs  0.000  0.000  0.000



2.
Density functional theory data (GGA-PBE) for a geometry-optimized CsTaHg structure.

## Properties
Magnetic moment   4.0 μB per formula unit
Final energy   -2.198 eV per atom

a b c (Å): 5.958 5.958 5.958
angles (deg): 60.00 60.00 60.00
Element x y z (fractional)
Hg  0.250  0.250  0.250
Cs  0.000  0.000  0.000
Ta  0.750  0.750  0.750



3.
Density functional theory data (GGA-PBE) for a geometry-optimized CsTbHg3Te4 structure.

## Properties
Magnetic moment   0.0 μB per formula unit
Final energy   -2.618 eV per atom

a b c (Å): 7.463 7.463 7.463
angles (deg): 90.00 90.00 90.00
Element x y z (fractional)
Cs  0.000  0.000  0.000
Te  0.724  0.724  0.276
Te  0.276  0.276  0.276
Te  0.724  0.276  0.724
Te  0.276  0.724  0.724
Tb  0.500  0.500  0.500
Hg  0.500  0.500  0.000
Hg  0.500  0.000  0.500
Hg  0.000  0.500  0.500



4.
Density functional theory data (GGA-PBE) for a geometry-optimized CsTcHg structure.

## Properties
Magnetic moment   3.8 μB per formula unit
Final energy   -2.362 eV per atom

a b c (Å): 5.508 5.508 5.508
angles (deg): 60.00 60.00 60.00
Element x y z (fractional)
Tc  0.750  0.750  0.750
Cs  0.250  0.250  0.250
Hg  0.000  0.000  0.000



5.
Density functional theory data (GGA-PBE) for a geometry-optimized Cs4Hg2Te structure.

## Properties
Final energy   -1.441 eV per atom

a b c (Å): 9.525 9.525 9.525
angles (deg): 94.84 94.84 146.22
Element x y z (fractional)
Cs  0.500  0.276  0.776
Cs  0.724  0.500  0.224
Cs  0.276  0.500  0.776
Cs  0.500  0.724  0.224
Hg  0.250  0.750  0.500
Hg  0.750  0.250  0.500
Te  0.000  0.000  0.000



6.
Density functional theory data (GGA-PBE) for a geometry-optimized CsHg2Te2 structure.

## Properties
Final energy   -1.953 eV per atom

a b c (Å): 5.246 5.246 7.963
angles (deg): 109.23 109.23 90.00
Element x y z (fractional)
Te  0.354  0.354  0.707
Te  0.646  0.646  0.293
Hg  0.750  0.250  0.500
Hg  0.250  0.750  0.500
Cs  0.000  0.000  0.000



7.
Density functional theory data (GGA-PBE) for a geometry-optimized CsHgTe structure.

## Properties
Excess energy over the best structure of this formula in the dataset   0.0 kJ/mol of atoms

a b c (Å): 7.768 7.768 10.367
angles (deg): 131.83 131.83 35.57
Element x y z (fractional)
Hg  0.632  0.632  0.632
Hg  0.368  0.368  0.368
Te  0.712  0.712  0.212
Te  0.288  0.288  0.788
Cs  0.000  0.000  0.220
Cs  0.000  0.000  0.780



8.
Density functional theory data (GGA-PBE) for a geometry-optimized CsHgTe structure.

## Properties
Excess energy over the best structure of this formula in the dataset   47.1 kJ/mol of atoms

a b c (Å): 6.101 6.101 6.101
angles (deg): 60.00 60.00 60.00
Element x y z (fractional)
Cs  0.000  0.000  0.000
Te  0.750  0.750  0.750
Hg  0.250  0.250  0.250